(1)
# Dy3Ga5Au6

A relaxed Dy3Ga5Au6 crystal (PBE, Alexandria).

Cell and atoms, written as extended XYZ:
```
28
Lattice="4.3488 0.0000 0.0000 0.0000 9.4718 0.0000 0.0000 0.0000 13.4795" Properties=species:S:1:pos:R:3 pbc="T T T"
Dy 2.1744 7.1962 2.3913
Dy 0.0000 2.2756 9.1310
Dy 0.0000 2.2997 0.0000
Dy 2.1744 7.1720 6.7398
Dy 2.1744 7.1962 11.0882
Dy 0.0000 2.2756 4.3485
Ga 0.0000 8.1123 8.9926
Ga 2.1744 4.2867 5.2657
Ga 0.0000 5.1851 1.4740
Ga 2.1744 1.9339 6.7398
Ga 2.1744 4.2867 8.2138
Ga 0.0000 7.5379 0.0000
Ga 0.0000 8.1123 4.4869
Ga 2.1744 1.3594 2.2528
Ga 2.1744 1.3594 11.2267
Ga 0.0000 5.1851 12.0055
Au 0.0000 0.1959 6.7398
Au 0.0000 5.5957 4.0794
Au 0.0000 9.4573 2.0789
Au 2.1744 4.7507 0.0000
Au 2.1744 3.8761 10.8191
Au 0.0000 5.5957 9.4002
Au 0.0000 9.4573 11.4007
Au 0.0000 4.7211 6.7398
Au 2.1744 9.2759 0.0000
Au 2.1744 3.8761 2.6604
Au 2.1744 0.0144 4.6609
Au 2.1744 0.0144 8.8186
```

Results
- energy relative to the elements (meV per atom) = -618
- DOS at the Fermi energy (states/eV per cell) = 15.18
- density (g cm⁻³) = 12.1

(2)
# Dy5Ga2Au2

A relaxed Dy5Ga2Au2 crystal (PBE, Alexandria).

Cell and atoms, written as extended XYZ:
```
18
Lattice="7.1282 0.0000 2.5875 0.0000 7.5488 0.0000 0.8751 0.0000 8.7016" Properties=species:S:1:pos:R:3 pbc="T T T"
Au 2.4436 3.7744 4.3806
Au 1.9956 0.0000 5.6147
Au 6.0076 0.0000 5.6744
Au 5.5597 3.7744 6.9085
Ga 6.2704 4.6766 2.2761
Ga 4.4218 0.9022 1.6051
Ga 2.7063 6.6466 0.9824
Ga 0.8577 2.8722 0.3114
Dy 1.5409 1.2924 2.8872
Dy 5.1050 2.4820 4.1809
Dy 0.0000 0.0000 0.0000
Dy 4.0940 6.2564 3.8139
Dy 0.5299 5.0668 2.5202
Dy 7.4733 2.4820 8.7689
Dy 3.5641 3.7744 1.2937
Dy 6.4623 6.2564 8.4019
Dy 3.9092 1.2924 7.4752
Dy 2.8982 5.0668 7.1082
```

Results
- energy relative to the elements (meV per atom) = -661
- DOS at the Fermi energy (states/eV per cell) = 17.62
- density (g cm⁻³) = 9.9

(3)
# DyGa2Au6

A relaxed DyGa2Au6 crystal (PBE, Alexandria).

Cell and atoms, written as extended XYZ:
```
9
Lattice="5.4521 -0.1053 0.5578 0.6231 5.5856 2.0104 0.1158 0.2589 5.9621" Properties=species:S:1:pos:R:3 pbc="T T T"
Au 4.7792 5.3438 5.3189
Au 2.9521 1.3644 5.3819
Au 3.2388 4.3748 3.1485
Au 1.6381 2.7716 1.4487
Au 4.5529 2.9676 7.0817
Au 1.4118 0.3954 3.2115
Ga 1.3026 3.4303 4.7907
Ga 4.8884 2.3090 3.7397
Dy 0.0000 0.0000 0.0000
```

Results
- energy relative to the elements (meV per atom) = -336
- distance to the lowest polymorph of the same formula (meV per atom) = 0
- DOS at the Fermi energy (states/eV per cell) = 3.25
- density (g cm⁻³) = 13.8